Below is an optimized crystal structure of Sr2Cd6Ga, with properties calculated at the PBE level.

Properties
- total moment (μB per formula unit) = 0.0
- raw total energy (eV/atom) = -1.58
- energy of formation from the pure elements (eV per atom) = -0.26

Cell: 6.5448 6.4624 6.4636 Å, 119.99 89.99 90.00°
Closest atoms and distances in Å follow each position.
Fractional coordinates of all 9 atoms:
Cd 0.3299 0.3501 0.1750  1 Ga 2.92, 4 Cd 2.97-3.07
Cd 0.3300 0.8249 0.6497  1 Ga 2.92, 4 Cd 2.97-3.07
Cd 0.3299 0.8250 0.1750  1 Ga 2.92, 4 Cd 2.97-3.07
Cd 0.6700 0.1751 0.3503  1 Ga 2.92, 4 Cd 2.97-3.07
Cd 0.6701 0.6499 0.8250  1 Ga 2.92, 4 Cd 2.97-3.07
Cd 0.6701 0.1750 0.8250  1 Ga 2.92, 4 Cd 2.97-3.07
Sr 0.1461 0.3334 0.6667  12 Cd 3.45-3.86, 3 Ga 3.85
Sr 0.8539 0.6666 0.3333  12 Cd 3.45-3.86, 3 Ga 3.85
Ga 0.0000 0.0000 0.0000  6 Cd 2.92